Density functional theory data (GGA+U) for a geometry-optimized Ni2AuF structure.

Output
Polymorph energy (0 for the lowest one): 522 meV per atom
Magnetic moment: 2.3 μB per formula unit
Raw total energy: -0.151 Ry per atom

Lattice parameters (Å, degrees): 4.2369 4.2369 4.2369 60.00 60.00 60.00
Closest atoms and distances in Å follow each position.
Sites, in units of the cell vectors:
1 Au 0.5000 0.5000 0.5000  8 Ni 2.59
2 Ni 0.7500 0.7500 0.7500  4 Au 2.59, 4 F 2.59
3 F 0.0000 0.0000 0.0000  8 Ni 2.59
4 Ni 0.2500 0.2500 0.2500  4 F 2.59, 4 Au 2.59